BaTeS4: optimized geometry, GGA-PBE.

Structure (extended XYZ):
```
12
Lattice="5.7812 -1.9193 -0.3160 -4.8197 8.0941 -2.9615 1.1950 0.7031 9.2715" Properties=species:S:1:pos:R:3 pbc="T T T"
Ba -0.2344 6.2188 -0.1482
S 0.2345 6.1770 3.1629
S 2.6705 4.1892 0.9345
S -0.5141 2.6887 5.0595
Te -0.3810 3.8874 3.0127
S 1.9219 0.7009 2.8311
S -0.7246 3.0107 -0.8109
S -2.1176 7.3580 6.1688
S 4.2740 -0.4801 -0.1748
S 2.8810 3.8673 6.8049
Te 2.5374 2.9905 2.9813
Ba 2.3908 0.6591 6.1423
```

Results
SG: No. 15
Formation energy (no corrections), eV per atom: -0.48
Distance to the lowest polymorph of the same formula, meV/atom: 0
Mass density, g/cm3: 3.52
Calculated volume, Å³/cell: 371.0

PmHg3Pd2: optimized geometry, GGA-PBE.

Structure (extended XYZ):
```
12
Lattice="-1.6098 -0.4158 3.7680 -6.7316 -2.7471 -5.4298 5.3007 -5.9587 1.6069" Properties=species:S:1:pos:R:3 pbc="T T T"
Pd -0.0866 -1.3326 2.0667
Hg -1.4040 -5.4568 -1.2020
Pm -1.5423 -8.2146 0.6854
Hg -4.3324 -6.1693 -0.2809
Hg 1.0972 -5.3429 2.1299
Hg -1.6367 -3.6648 1.1471
Pd 0.9252 -6.7422 -0.3488
Pm -1.4984 -0.9070 -0.7402
Hg -4.1379 -3.7787 -2.1848
Pd -2.9540 -7.7890 -2.1216
Hg 1.2917 -2.9523 0.2260
Pd -3.9658 -2.3794 0.2939
```

Results
SG: No. 12
Mass density, g/cm3: 11.69
Calculated volume, Å³/cell: 272.7
ΔH_f (0 K), eV/atom: -0.3796

ReTcPb2: optimized geometry, GGA-PBE.

Structure (extended XYZ):
```
4
Lattice="4.8330 0.0000 0.0000 2.4165 4.1855 0.0000 2.4165 1.3952 3.9462" Properties=species:S:1:pos:R:3 pbc="T T T"
Pb 0.0000 0.0000 0.0000
Pb 7.2495 4.1855 2.9596
Tc 2.4165 1.3952 0.9865
Re 4.8330 2.7904 1.9731
```

Results
SG: No. 216
Distance to the lowest polymorph of the same formula, meV/atom: 770
Mass density, g/cm3: 14.53
Calculated volume, Å³/cell: 79.8
ΔH_f (0 K), eV/atom: 1.0948

SrZnGe2Rh: optimized geometry, GGA-PBE.

Structure (extended XYZ):
```
5
Lattice="-0.3672 0.0288 -4.2601 -3.3905 -2.5910 0.2747 -1.4030 5.6086 2.3049" Properties=species:S:1:pos:R:3 pbc="T T T"
Rh -1.8245 2.1782 -1.9740
Ge -2.6948 -0.2051 -1.9151
Ge -2.4658 3.2515 0.2345
Zn -3.3361 0.8682 0.2934
Sr 0.0000 0.0000 0.0000
```

Results
SG: No. 119
Mass density, g/cm3: 6.70
Calculated volume, Å³/cell: 99.5
ΔH_f (0 K), eV/atom: -0.5066

Th3SbRuSe: optimized geometry, GGA-PBE.

Structure (extended XYZ):
```
12
Lattice="4.2478 0.0000 0.0000 0.0000 8.3765 -0.7016 0.0000 -4.0194 9.3886" Properties=species:S:1:pos:R:3 pbc="T T T"
Th 3.1858 3.3416 1.0455
Th 1.0619 1.0155 7.6416
Sb 1.0619 1.2270 2.1986
Th 3.1858 7.3436 0.5301
Se 1.0619 5.4182 1.2974
Ru 1.0619 -1.5786 5.6595
Sb 3.1858 3.1301 6.4884
Th 1.0619 -2.9865 8.1569
Ru 3.1858 5.9357 3.0275
Th 3.1858 0.2241 4.6201
Se 3.1858 -1.0612 7.3897
Th 1.0619 4.1329 4.0669
```

Results
SG: No. 11
Formation energy (no corrections), eV per atom: -0.77
Mass density, g/cm3: 10.29
Calculated volume, Å³/cell: 322.1

PrThTeP: optimized geometry, GGA-PBE.

Structure (extended XYZ):
```
4
Lattice="-2.1544 3.5707 -0.6432 -0.3565 -2.0468 3.6732 7.3091 2.2727 1.9756" Properties=species:S:1:pos:R:3 pbc="T T T"
Te 0.4250 3.4888 1.4913
P 5.5374 1.9595 3.5585
Th -0.0333 -1.3991 3.5708
Pr 3.6976 2.9760 1.5223
```

Results
SG: No. 160
Formation energy (no corrections), eV per atom: -1.47
Mass density, g/cm3: 7.61
Calculated volume, Å³/cell: 116.0